Entry 1:
A plane-wave DFT calculation with PBE-GGA was carried out for TbPrAlAg after structural relaxation.

Calculated values
total DFT energy (no corrections): -4.30 eV/atom
E above lowest polymorph: 0.15 eV per formula unit
E_form: -0.30 eV per atom

Cell: 5.274 5.274 5.274 Å, 60.00 60.00 60.00°
Sites, in units of the cell vectors:
1 Pr 0.500 0.500 0.500
2 Ag 0.250 0.250 0.250
3 Al 0.750 0.750 0.750
4 Tb 0.000 0.000 0.000

Entry 2:
A plane-wave DFT calculation with PBE-GGA was carried out for Dy6Ho8Tm after structural relaxation.

Calculated values
total DFT energy (no corrections): -4.45 eV/atom
E above lowest polymorph: 0.00 eV per formula unit
E_form: 0.13 eV per atom

Cell: 8.957 8.957 8.547 Å, 58.40 58.40 60.00°
Sites, in units of the cell vectors:
1 Ho 0.110 0.744 0.425
2 Ho 0.423 0.423 0.730
3 Ho 0.256 0.279 0.575
4 Ho 0.577 0.577 0.270
5 Ho 0.279 0.890 0.575
6 Ho 0.721 0.110 0.425
7 Ho 0.890 0.256 0.575
8 Ho 0.744 0.721 0.425
9 Dy 0.891 0.773 0.877
10 Dy 0.227 0.541 0.123
11 Dy 0.109 0.227 0.123
12 Dy 0.541 0.109 0.123
13 Dy 0.459 0.891 0.877
14 Dy 0.773 0.459 0.877
15 Tm 0.000 0.000 0.000

Entry 3:
A plane-wave DFT calculation with PBE-GGA was carried out for Pd2Pt3Au2 after structural relaxation.

Calculated values
total DFT energy (no corrections): -4.95 eV/atom
E_form: 0.06 eV per atom

Cell: 2.766 4.252 9.971 Å, 77.69 90.00 90.00°
Sites, in units of the cell vectors:
1 Au 0.000 0.147 0.707
2 Au 0.000 0.853 0.293
3 Pt 0.500 0.569 0.862
4 Pt 0.500 0.431 0.138
5 Pt 0.000 0.000 0.000
6 Pd 0.500 0.290 0.421
7 Pd 0.500 0.710 0.579